[1]
A plane-wave DFT calculation with PBE was carried out for an optimized crystal structure of Li2ScFe.

Lattice parameters (Å, degrees): 2.8062 2.8062 29.8326 90.00 90.00 120.00
Closest atoms and distances in Å follow each position.
Space group R-3m (No. 166, hexagonal axes)
Symmetry-distinct sites (fractional):
Li  0.0000  0.0000  0.2416 (multiplicity 6)  3 Fe 2.76, 6 Li 2.81
Sc  0.0000  0.0000  0.0000 (multiplicity 3)  6 Sc 2.81
Fe  0.0000  0.0000  0.5000 (multiplicity 3)  6 Li 2.76, 6 Fe 2.81

Computed properties:
- Formation enthalpy at 0 K: 386 meV/atom
- Magnetic moment: 2.347 μB/f.u.
- Fermi-level density of states: 0.809 states/eV per atom
- Polymorph energy (0 for the lowest one): 0.84 eV/f.u.

---

[2]
A plane-wave DFT calculation with PBE was carried out for an optimized crystal structure of Zr2SbS.

Lattice parameters (Å, degrees): 3.8395 3.8395 19.9847 90.00 90.00 120.00
Closest atoms and distances in Å follow each position.
Space group R-3m (No. 166, hexagonal axes)
Symmetry-distinct sites (fractional):
Zr  0.0000  0.0000  0.2315 (multiplicity 6)  3 S 2.57
Sb  0.0000  0.0000  0.0000 (multiplicity 3)  6 Zr 3.01
S  0.0000  0.0000  0.5000 (multiplicity 3)  6 Zr 2.57

Computed properties:
- Magnetic moment: 0.000 μB/f.u.
- Fermi-level density of states: 0.634 states/eV per atom
- ΔE_f (raw): -1.037 eV per atom
- Polymorph energy (0 for the lowest one): 0.13 eV/f.u.

---

[3]
A plane-wave DFT calculation with PBE was carried out for an optimized crystal structure of PuPt3.

Lattice parameters (Å, degrees): 4.1386 4.1386 8.4226 90.00 90.00 90.00
Closest atoms and distances in Å follow each position.
Space group I4/mmm (No. 139)
Symmetry-distinct sites (fractional):
Pu  0.0000  0.0000  0.0000 (multiplicity 2)  12 Pt 2.93-2.95
Pt  0.0000  0.0000  0.5000 (multiplicity 2)  4 Pu 2.93, 8 Pt 2.95
Pt  0.0000  0.5000  0.2500 (multiplicity 4)  8 Pt 2.93-2.95, 4 Pu 2.95

Computed properties:
- Formation enthalpy at 0 K: -622 meV/atom
- Magnetic moment: 4.187 μB/f.u.
- Fermi-level density of states: 2.775 states/eV per atom

---

[4]
A plane-wave DFT calculation with PBE was carried out for an optimized crystal structure of LaZnHg3.

Lattice parameters (Å, degrees): 6.2438 6.2438 6.2438 90.00 90.00 90.00
Closest atoms and distances in Å follow each position.
Space group Pm-3m (No. 221)
Symmetry-distinct sites (fractional):
La  0.0000  0.0000  0.0000 (multiplicity 1)  6 Hg 3.12
Zn  0.5000  0.5000  0.5000 (multiplicity 1)  12 Hg 4.42
Hg  0.0000  0.0000  0.5000 (multiplicity 3)  2 La 3.12

Computed properties:
- Formation enthalpy at 0 K: 466 meV/atom
- Magnetic moment: 0.000 μB/f.u.
- Fermi-level density of states: 1.329 states/eV per atom
- Polymorph energy (0 for the lowest one): 3.67 eV/f.u.

---

[5]
A plane-wave DFT calculation with PBE was carried out for an optimized crystal structure of CsTmBi2.

Lattice parameters (Å, degrees): 4.7831 4.7831 26.4886 90.00 90.00 120.00
Closest atoms and distances in Å follow each position.
Space group R3m (No. 160, hexagonal axes)
Symmetry-distinct sites (fractional):
Cs  0.0000  0.0000  0.0000 (multiplicity 3)  6 Bi 3.97-4.10
Tm  0.0000  0.0000  0.1707 (multiplicity 3)  6 Bi 3.12-3.14
Bi  0.0000  0.0000  0.5592 (multiplicity 3)  3 Tm 3.12
Bi  0.0000  0.0000  0.7810 (multiplicity 3)  3 Tm 3.14

Computed properties:
- Formation enthalpy at 0 K: -333 meV/atom
- Magnetic moment: 0.000 μB/f.u.
- Fermi-level density of states: 0.922 states/eV per atom
- Polymorph energy (0 for the lowest one): 0.54 eV/f.u.

---

[6]
A plane-wave DFT calculation with PBE was carried out for an optimized crystal structure of Na2MgPt2O6.

Lattice parameters (Å, degrees): 5.3496 9.4090 5.7532 90.00 108.52 90.00
Closest atoms and distances in Å follow each position.
Space group C2/m (No. 12)
Symmetry-distinct sites (fractional):
Na  0.0000  0.1663  0.0000 (multiplicity 4)  6 O 2.42-2.47
Mg  0.0000  0.0000  0.5000 (multiplicity 2)  6 O 2.07-2.14
Pt  0.0000  0.3349  0.5000 (multiplicity 4)  6 O 2.05-2.07
O  0.2305  0.5000  0.6912 (multiplicity 4)  2 Pt 2.07, 1 Mg 2.07
O  0.2333  0.1732  0.6927 (multiplicity 8)  2 Pt 2.05-2.07, 1 Mg 2.14

Computed properties:
- Magnetic moment: 0.000 μB/f.u.
- Fermi-level density of states: 0.000 states/eV per atom
- ΔE_f (raw): -1.314 eV per atom

---

[7]
A plane-wave DFT calculation with PBE was carried out for an optimized crystal structure of NaTa2TcO8.

Lattice parameters (Å, degrees): 6.6909 6.8608 6.3102 90.00 90.00 90.00
Closest atoms and distances in Å follow each position.
Space group Cmmm (No. 65)
Symmetry-distinct sites (fractional):
Na  0.0000  0.0000  0.0000 (multiplicity 2)  6 O 2.19-2.30
Ta  0.0000  0.5000  0.2431 (multiplicity 4)  6 O 1.96-2.13
Tc  0.0000  0.0000  0.5000 (multiplicity 2)  6 O 1.94-2.05
O  0.0000  0.2982  0.5000 (multiplicity 4)  1 Tc 2.05, 2 Ta 2.13
O  0.0000  0.3198  0.0000 (multiplicity 4)  2 Ta 1.97, 1 Na 2.19
O  0.2106  0.0000  0.2877 (multiplicity 8)  1 Tc 1.94, 1 Ta 1.96

Computed properties:
- Magnetic moment: 2.000 μB/f.u.
- Fermi-level density of states: 0.261 states/eV per atom
- ΔE_f (raw): -2.222 eV per atom

---

[8]
A plane-wave DFT calculation with PBE was carried out for an optimized crystal structure of EuMgGePd.

Lattice parameters (Å, degrees): 6.9498 6.9498 6.9498 90.00 90.00 90.00
Closest atoms and distances in Å follow each position.
Space group F-43m (No. 216)
Symmetry-distinct sites (fractional):
Eu  0.0000  0.0000  0.0000 (multiplicity 4)  4 Pd 3.01, 4 Ge 3.01
Mg  0.0000  0.0000  0.5000 (multiplicity 4)  4 Ge 3.01, 4 Pd 3.01
Ge  0.2500  0.2500  0.2500 (multiplicity 4)  4 Mg 3.01, 4 Eu 3.01
Pd  0.2500  0.2500  0.7500 (multiplicity 4)  4 Mg 3.01, 4 Eu 3.01

Computed properties:
- Formation enthalpy at 0 K: -494 meV/atom
- Magnetic moment: 6.917 μB/f.u.
- Fermi-level density of states: 2.527 states/eV per atom

---

[9]
A plane-wave DFT calculation with PBE was carried out for an optimized crystal structure of Gd2DyBr.

Lattice parameters (Å, degrees): 3.6722 3.6722 30.9279 90.00 90.00 120.00
Closest atoms and distances in Å follow each position.
Space group R-3m (No. 166, hexagonal axes)
Symmetry-distinct sites (fractional):
Gd  0.0000  0.0000  0.2425 (multiplicity 6)  3 Br 3.16, 3 Dy 3.52
Dy  0.0000  0.0000  0.0000 (multiplicity 3)  6 Gd 3.52, 6 Dy 3.67
Br  0.0000  0.0000  0.5000 (multiplicity 3)  6 Gd 3.16

Computed properties:
- Magnetic moment: 14.659 μB/f.u.
- Fermi-level density of states: 1.681 states/eV per atom
- ΔE_f (raw): -0.540 eV per atom
- Polymorph energy (0 for the lowest one): 0.00 eV/f.u.

---

[10]
A plane-wave DFT calculation with PBE was carried out for an optimized crystal structure of RbYCdPd2.

Lattice parameters (Å, degrees): 5.2812 5.2812 5.4293 90.00 90.00 90.00
Closest atoms and distances in Å follow each position.
Space group P4/mmm (No. 123)
Symmetry-distinct sites (fractional):
Rb  0.0000  0.0000  0.0000 (multiplicity 1)  4 Y 3.73, 8 Pd 3.79
Y  0.5000  0.5000  0.0000 (multiplicity 1)  2 Cd 2.71
Cd  0.5000  0.5000  0.5000 (multiplicity 1)  4 Pd 2.64, 2 Y 2.71
Pd  0.0000  0.5000  0.5000 (multiplicity 2)  2 Cd 2.64

Computed properties:
- Formation enthalpy at 0 K: 454 meV/atom
- Magnetic moment: 0.000 μB/f.u.
- Fermi-level density of states: 0.940 states/eV per atom

---

[11]
A plane-wave DFT calculation with PBE was carried out for an optimized crystal structure of Pr8AlIn2.

Lattice parameters (Å, degrees): 19.1310 5.3858 7.3071 90.00 109.19 90.00
Closest atoms and distances in Å follow each position.
Space group C2/m (No. 12)
Symmetry-distinct sites (fractional):
Pr  0.0094  0.0000  0.2664 (multiplicity 4)  2 Al 3.22, 1 In 3.35, 3 Pr 3.41-3.55
Pr  0.0923  0.5000  0.9571 (multiplicity 4)  1 Al 3.22, 2 In 3.39, 3 Pr 3.41-3.46
Pr  0.1569  0.5000  0.4577 (multiplicity 4)  1 Al 3.12, 3 In 3.28-3.31, 1 Pr 3.46
Pr  0.2031  0.0000  0.7951 (multiplicity 4)  3 In 3.28-3.55, 2 Pr 3.56
Al  0.0000  0.5000  0.5000 (multiplicity 2)  8 Pr 3.12-3.22
In  0.1773  0.0000  0.2168 (multiplicity 4)  9 Pr 3.28-3.55

Computed properties:
- Formation enthalpy at 0 K: -211 meV/atom
- Magnetic moment: 0.000 μB/f.u.
- Fermi-level density of states: 1.075 states/eV per atom
- Polymorph energy (0 for the lowest one): 0.00 eV/f.u.

---

[12]
A plane-wave DFT calculation with PBE was carried out for an optimized crystal structure of NdYGaHg.

Lattice parameters (Å, degrees): 7.4558 7.4558 7.4558 90.00 90.00 90.00
Closest atoms and distances in Å follow each position.
Space group F-43m (No. 216)
Symmetry-distinct sites (fractional):
Nd  0.0000  0.0000  0.0000 (multiplicity 4)  4 Hg 3.23, 4 Ga 3.23
Y  0.0000  0.0000  0.5000 (multiplicity 4)  4 Ga 3.23, 4 Hg 3.23
Ga  0.2500  0.2500  0.2500 (multiplicity 4)  4 Nd 3.23, 4 Y 3.23
Hg  0.2500  0.2500  0.7500 (multiplicity 4)  4 Y 3.23, 4 Nd 3.23

Computed properties:
- Formation enthalpy at 0 K: -516 meV/atom
- Magnetic moment: 0.002 μB/f.u.
- Fermi-level density of states: 1.134 states/eV per atom
- Polymorph energy (0 for the lowest one): 0.09 eV/f.u.

---

> Look up the Fermi-level density of states of the third one.

2.775 states/eV per atom